Entry a
DFT (PBE) results for an optimized crystal structure of Ho2Lu.

a b c (Å): 14.161 14.161 14.161
angles (deg): 90.00 90.00 90.00
Space group Fd-3m (No. 227, origin choice 2)
Inequivalent atoms, fractional coordinates:
Ho 0.000 0.000 0.000 [16 per cell]
Lu 0.125 0.125 0.125 [8 per cell]

Values from the calculation:
The calculation puts the volume at 355 Å³/f.u. The value obtained for the density is 2.36 g cm⁻³.

***

Entry b
DFT (PBE) results for an optimized crystal structure of Ho2Lu.

a b c (Å): 9.111 9.111 9.111
angles (deg): 90.00 90.00 90.00
Space group Fd-3m (No. 227, origin choice 2)
Inequivalent atoms, fractional coordinates:
Ho 0.000 0.000 0.000 [16 per cell]
Lu 0.125 0.125 0.625 [8 per cell]

Values from the calculation:
The calculation puts the volume at 95 Å³/f.u. The value obtained for the density is 8.87 g cm⁻³.

***

Computed energies relative to the best structure, in meV/atom: entry a 2318; entry b 0

***

Entry a
DFT (PBE) results for an optimized crystal structure of HoLu.

a b c (Å): 6.431 6.431 6.431
angles (deg): 90.00 90.00 90.00
Space group Fm-3m (No. 225)
Inequivalent atoms, fractional coordinates:
Ho 0.000 0.000 0.000 [4 per cell]
Lu 0.000 0.000 0.500 [4 per cell]

Values from the calculation:
The calculation puts the volume at 66 Å³/f.u. The value obtained for the density is 8.49 g cm⁻³.

***

Entry b
DFT (PBE) results for an optimized crystal structure of HoLu.

a b c (Å): 7.264 7.264 7.264
angles (deg): 90.00 90.00 90.00
Space group F-43m (No. 216)
Inequivalent atoms, fractional coordinates:
Ho 0.000 0.000 0.000 [4 per cell]
Lu 0.250 0.250 0.750 [4 per cell]

Values from the calculation:
The calculation puts the volume at 96 Å³/f.u. The value obtained for the density is 5.89 g cm⁻³.

***

Computed energies relative to the best structure, in meV/atom: entry a 0; entry b 1168

***

Entry a
DFT (PBE) results for an optimized crystal structure of HoLu2.

a b c (Å): 9.088 9.088 9.088
angles (deg): 90.00 90.00 90.00
Space group Fd-3m (No. 227, origin choice 2)
Inequivalent atoms, fractional coordinates:
Ho 0.125 0.125 0.125 [8 per cell]
Lu 0.000 0.000 0.500 [16 per cell]

Values from the calculation:
The calculation puts the volume at 94 Å³/f.u. The value obtained for the density is 9.11 g cm⁻³.

***

Entry b
DFT (PBE) results for an optimized crystal structure of HoLu2.

a b c (Å): 14.270 14.270 14.270
angles (deg): 90.00 90.00 90.00
Space group Fd-3m (No. 227, origin choice 2)
Inequivalent atoms, fractional coordinates:
Ho 0.125 0.125 0.125 [8 per cell]
Lu 0.000 0.000 0.000 [16 per cell]

Values from the calculation:
The calculation puts the volume at 363 Å³/f.u. The value obtained for the density is 2.35 g cm⁻³.

***

Computed energies relative to the best structure, in meV/atom: entry a 0; entry b 2247